Computed, not measured: crystalline TePBr2 at its relaxed geometry at the PBE level of DFT.

For the uncorrected formation energy, the calculation gives 56 kJ per mole of atoms. The calculation puts the density of states at the Fermi level at 0.880 states/eV per atom. Its space group is Pmmm, No. 47.

Unit cell a=3.445 b=4.704 c=6.179 alpha=90.00 beta=90.00 gamma=90.00
Element x y z (fractional)
Te 0.000 0.000 0.000
P 0.500 0.000 0.500
Br 0.000 0.500 0.500
Br 0.500 0.500 0.000

Computed, not measured: crystalline Al2Cu2Ag at its relaxed geometry at the PBE level of DFT.

The calculation puts the density of states at the Fermi level at 0.201 states/eV per atom. Its space group is C2/m, No. 12. The value obtained for the formation energy is -0.06 eV per atom.

Unit cell a=4.353 b=4.353 c=4.776 alpha=103.68 beta=103.68 gamma=60.69
Element x y z (fractional)
Al 0.237 0.237 0.318
Al 0.763 0.763 0.682
Cu 0.114 0.114 0.760
Cu 0.886 0.886 0.240
Ag 0.500 0.500 0.000

Computed, not measured: crystalline La2Pr2Tm3 at its relaxed geometry at the PBE level of DFT.

The calculation puts the density of states at the Fermi level at 2.041 states/eV per atom. Its space group is C2/m, No. 12. The value obtained for the formation energy is 0.13 eV per atom.

Unit cell a=5.666 b=5.666 c=9.263 alpha=113.31 beta=113.31 gamma=64.48
Element x y z (fractional)
La 0.077 0.077 0.212
La 0.923 0.923 0.788
Pr 0.213 0.213 0.644
Pr 0.787 0.787 0.356
Tm 0.359 0.359 0.069
Tm 0.500 0.500 0.500
Tm 0.641 0.641 0.931

Computed, not measured: crystalline La2Be4Pt3Rh at its relaxed geometry at the PBE level of DFT.

The calculation puts the density of states at the Fermi level at 0.706 states/eV per atom. Its space group is P-4m2, No. 115. The value obtained for the formation energy is -0.80 eV per atom.

Unit cell a=4.114 b=4.114 c=9.692 alpha=90.00 beta=90.00 gamma=90.00
Element x y z (fractional)
La 0.000 0.500 0.246
La 0.500 0.000 0.754
Be 0.000 0.000 0.500
Be 0.000 0.500 0.886
Be 0.500 0.000 0.114
Be 0.500 0.500 0.500
Pt 0.000 0.000 0.000
Pt 0.000 0.500 0.622
Pt 0.500 0.000 0.378
Rh 0.500 0.500 0.000